This record from Alexandria via LeMat-Bulk describes CoSb2OsO after structural relaxation. The functional is PBE+U.

Lattice parameters (Å, degrees): 5.3885 5.3885 3.6344 90.00 90.00 90.00
Closest atoms and distances in Å follow each position.
Positions (direct):
Co 0.0000 0.0000 0.0000  8 Sb 3.25, 2 Co 3.63
Sb 0.0000 0.5000 0.5000  2 Os 2.69
Sb 0.5000 0.0000 0.5000  2 Os 2.69
Os 0.5000 0.5000 0.5000  2 O 1.82
O 0.5000 0.5000 0.0000  2 Os 1.82

Output
Its total energy is -28.38 eV for the cell shown. The calculation puts the density of states at the Fermi level at 0.439 states/eV/atom.